# Ce7HgGe3 | Alexandria | PBE | optimized geometry
# **Energy relative to the elements**: -0.385 eV/atom
data_Ce7HgGe3
_chemical_formula_sum 'Ce14 Hg2 Ge6'
_space_group_name_H-M_alt 'I m m m'
_space_group_IT_number 71
_space_group_name_Hall '-I 2 2'
_cell_length_a 5.738
_cell_length_b 9.001
_cell_length_c 11.459
_cell_angle_alpha 90.00
_cell_angle_beta 90.00
_cell_angle_gamma 90.00
loop_
_atom_site_label
_atom_site_type_symbol
_atom_site_fract_x
_atom_site_fract_y
_atom_site_fract_z
_atom_site_occupancy
Ce1 Ce 0.000 0.000 0.000 1
Ce2 Ce 0.000 0.152 0.500 1
Ce3 Ce 0.000 0.344 0.234 1
Hg1 Hg 0.000 0.500 0.500 1
Ge1 Ge 0.000 0.000 0.262 1
Ge2 Ge 0.000 0.500 0.000 1